1.
LaScAu2 | SCAN | single point on PBEsol structure

Properties
- symmetry = Pm (6)
- crystal system = monoclinic

Structure (POSCAR):
```
LaScAu2
1.0
3.697 0.000 0.000
0.000 4.600 0.000
-1.821 0.000 5.426
La Sc Au
1 1 2
Direct
0.000 0.000 0.000 La
0.724 0.500 0.444 Sc
0.272 0.000 0.539 Au
0.442 0.500 0.883 Au
```


2.
La2ScAu | SCAN | single point on PBEsol structure

Properties
- energy above the most stable polymorph in this dataset (meV/atom) = 14
- symmetry = P4mm (99)
- crystal system = tetragonal

Structure (POSCAR):
```
La2ScAu
1.0
3.544 0.000 0.000
0.000 3.544 0.000
0.000 0.000 8.379
La Sc Au
2 1 1
Direct
0.000 0.000 0.000 La
0.500 0.500 0.310 La
0.000 0.000 0.592 Sc
0.500 0.500 0.751 Au
```


3.
La2ScAu2 | SCAN | single point on PBEsol structure

Properties
- symmetry = P4/mbm (127)
- crystal system = tetragonal

Structure (POSCAR):
```
La2ScAu2
1.0
8.070 0.000 0.000
0.000 8.070 0.000
0.000 0.000 3.954
La Sc Au
4 2 4
Direct
0.171 0.329 0.000 La
0.329 0.829 0.000 La
0.671 0.171 0.000 La
0.829 0.671 0.000 La
0.000 0.000 0.500 Sc
0.500 0.500 0.500 Sc
0.131 0.631 0.500 Au
0.369 0.131 0.500 Au
0.631 0.869 0.500 Au
0.869 0.369 0.500 Au
```


4.
LaScAu2 | SCAN | single point on PBEsol structure

Properties
- symmetry = P4/mmm (123)
- crystal system = tetragonal

Structure (POSCAR):
```
LaScAu2
1.0
3.394 0.000 0.000
0.000 3.394 0.000
0.000 0.000 7.508
La Sc Au
1 1 2
Direct
0.000 0.000 0.000 La
0.000 0.000 0.500 Sc
0.500 0.500 0.295 Au
0.500 0.500 0.705 Au
```


5.
La2ScAu | SCAN | single point on PBEsol structure

Properties
- energy above the most stable polymorph in this dataset (meV/atom) = 151
- symmetry = Immm (71)
- crystal system = orthorhombic

Structure (POSCAR):
```
La2ScAu
1.0
-1.897 2.614 5.230
1.897 -2.614 5.230
1.897 2.614 -5.230
La Sc Au
2 1 1
Direct
0.229 0.229 0.000 La
0.771 0.771 0.000 La
0.500 0.000 0.500 Sc
0.000 0.500 0.500 Au
```


6.
LaSc2Au | SCAN | single point on PBEsol structure

Properties
- energy above the most stable polymorph in this dataset (meV/atom) = 103
- symmetry = P4/mmm (123)
- crystal system = tetragonal

Structure (POSCAR):
```
LaSc2Au
1.0
4.480 0.000 0.000
0.000 4.480 0.000
0.000 0.000 4.613
La Sc Au
1 2 1
Direct
0.000 0.000 0.000 La
0.000 0.500 0.500 Sc
0.500 0.000 0.500 Sc
0.500 0.500 0.000 Au
```


Volume across the listed records, respectively: 23.07 26.31 25.75 21.63 25.94 23.15 Å³ per atom.
Energy relative to the elements across the listed records, respectively: -3.91 -1.98 -4.22 -4.08 -1.43 -1.39 eV/f.u..
Magnetic moment across the listed records, respectively: 0.000 0.079 0.000 0.000 0.000 0.000 μB per atom.